A plane-wave DFT calculation with PBE was carried out for an optimized crystal structure of SrGaAu2.

Computed properties:
Total magnetization ... 0.000 Bohr magnetons per cell
ΔE_f ... -207 kJ/mol of formula units
Crystal system ... orthorhombic

a = 5.8770 Å, b = 8.5136 Å, c = 4.1366 Å
α = 90.00°, β = 90.00°, γ = 90.00°
Space group Cmmm (No. 65)
Asymmetric unit:
Sr1 0.0000 0.0000 0.0000 (multiplicity 2)
Ga1 0.0000 0.5000 0.5000 (multiplicity 2)
Au1 0.2500 0.2500 0.5000 (multiplicity 4)